This record from OQMD describes GdErCd2 after structural relaxation. The functional is GGA-PBE.

Summary:
- magnetic moment (μB per formula unit) = 0.0
- space group = Ama2, No. 40
- DFT formation energy (eV/atom) = -0.182
- crystal system = orthorhombic

Structure (CIF):
```
data_GdErCd2
_space_group_name_H-M_alt 'P 1'
_space_group_IT_number 1
_cell_length_a 5.374
_cell_length_b 6.811
_cell_length_c 6.811
_cell_angle_alpha 122.63
_cell_angle_beta 90.00
_cell_angle_gamma 90.00
loop_
_space_group_symop_operation_xyz
'x,y,z'
loop_
_atom_site_label
_atom_site_type_symbol
_atom_site_fract_x
_atom_site_fract_y
_atom_site_fract_z
Cd1 Cd 0.250 0.813 0.163
Cd2 Cd 0.250 0.339 0.173
Cd3 Cd 0.750 0.173 0.339
Cd4 Cd 0.750 0.163 0.813
Er1 Er 0.250 0.855 0.697
Er2 Er 0.750 0.697 0.855
Gd1 Gd 0.750 0.643 0.317
Gd2 Gd 0.250 0.317 0.643
```

=====

This record from OQMD describes YTmZnIr2 after structural relaxation. The functional is GGA-PBE.

Summary:
- magnetic moment (μB per formula unit) = 0.0
- space group = Imm2, No. 44
- DFT formation energy (eV/atom) = -0.805
- crystal system = orthorhombic

Structure (CIF):
```
data_YTmZnIr2
_space_group_name_H-M_alt 'P 1'
_space_group_IT_number 1
_cell_length_a 5.465
_cell_length_b 5.465
_cell_length_c 5.465
_cell_angle_alpha 135.34
_cell_angle_beta 115.86
_cell_angle_gamma 81.52
loop_
_space_group_symop_operation_xyz
'x,y,z'
loop_
_atom_site_label
_atom_site_type_symbol
_atom_site_fract_x
_atom_site_fract_y
_atom_site_fract_z
Ir1 Ir 0.771 0.500 0.271
Ir2 Ir 0.229 0.500 0.729
Tm1 Tm 0.796 0.796 0.000
Y1 Y 0.204 0.204 0.000
Zn1 Zn 0.501 0.001 0.500
```

=====

This record from OQMD describes UPtW after structural relaxation. The functional is GGA-PBE.

Summary:
- magnetic moment (μB per formula unit) = 0.0
- space group = F-43m, No. 216
- DFT formation energy (eV/atom) = 0.700
- crystal system = cubic

Structure (CIF):
```
data_UPtW
_space_group_name_H-M_alt 'P 1'
_space_group_IT_number 1
_cell_length_a 4.515
_cell_length_b 4.515
_cell_length_c 4.515
_cell_angle_alpha 60.00
_cell_angle_beta 60.00
_cell_angle_gamma 60.00
loop_
_space_group_symop_operation_xyz
'x,y,z'
loop_
_atom_site_label
_atom_site_type_symbol
_atom_site_fract_x
_atom_site_fract_y
_atom_site_fract_z
Pt1 Pt 0.250 0.250 0.250
U1 U 0.000 0.000 0.000
W1 W 0.750 0.750 0.750
```

=====

This record from OQMD describes Hg2BMo after structural relaxation. The functional is GGA-PBE.

Summary:
- magnetic moment (μB per formula unit) = 0.8
- space group = F-43m, No. 216
- uncorrected energy (eV per cell) = -12.6
- crystal system = cubic

Structure (CIF):
```
data_Hg2BMo
_space_group_name_H-M_alt 'P 1'
_space_group_IT_number 1
_cell_length_a 4.559
_cell_length_b 4.559
_cell_length_c 4.559
_cell_angle_alpha 60.00
_cell_angle_beta 60.00
_cell_angle_gamma 60.00
loop_
_space_group_symop_operation_xyz
'x,y,z'
loop_
_atom_site_label
_atom_site_type_symbol
_atom_site_fract_x
_atom_site_fract_y
_atom_site_fract_z
B1 B 0.500 0.500 0.500
Hg1 Hg 0.000 0.000 0.000
Hg2 Hg 0.750 0.750 0.750
Mo1 Mo 0.250 0.250 0.250
```